Arrangement a

This record from the Alexandria database describes an optimized crystal structure of As2OsPbSe. The functional is PBE-GGA.

```
As2OsPbSe
1.0
-1.225 -0.796 4.461
3.673 -2.882 0.494
3.185 4.343 1.650
As Pb Os Se
2 1 1 1
Cartesian
-0.613 -0.398 2.231
1.836 -1.441 0.247
2.816 0.332 3.303
0.000 0.000 0.000
1.593 2.171 0.825
```

Total moment ... 0.0 μB/f.u.
Symmetry ... P4/mmm (123)

***

Arrangement b

This record from the Alexandria database describes an optimized crystal structure of As2OsPbSe. The functional is PBE-GGA.

```
As2OsPbSe
1.0
-2.440 4.755 -0.222
-3.669 -2.038 -3.317
-2.987 -1.340 4.128
Se As Pb Os
1 2 1 1
Cartesian
-1.493 -0.670 2.064
-1.220 2.378 -0.111
-1.834 -1.019 -1.658
0.000 0.000 0.000
-4.548 0.688 0.294
```

Total moment ... 2.6 μB/f.u.
Symmetry ... P4/mmm (123)

***

Most stable to least stable, the ends of the list are arrangement a and arrangement b.